# 1
! CdSb2Pb2Au7 (PBE, optimized geometry); values from VASP
&SYSTEM
  ibrav = 0, nat = 12, ntyp = 4
/
ATOMIC_SPECIES
Au 196.97 Au.upf
Pb 207.20 Pb.upf
Sb 121.76 Sb.upf
Cd 112.41 Cd.upf
ATOMIC_POSITIONS angstrom
Au 2.1502 2.1476 6.5540
Au 2.1262 4.2727 2.0987
Au 4.2753 2.1210 2.0987
Au 4.2847 4.2795 9.7992
Au 2.1596 4.3061 14.2545
Au 2.1409 2.1383 0.0267
Pb 2.1477 2.1451 9.4414
Sb 2.1262 2.1236 3.7986
Au 4.3088 2.1544 14.2545
Cd 0.0000 0.0000 0.0000
Sb 4.3088 4.3035 12.5546
Pb 4.2872 4.2820 6.9118
CELL_PARAMETERS angstrom
4.2847 -0.0082 0.0267
-0.0029 4.2847 0.0267
2.1532 2.1505 16.2998
! E_form (uncorrected) = -0.05 eV per atom
! E_tot = -3.340 eV per atom

# 2
! PbSCl (PBE, optimized geometry); values from VASP
&SYSTEM
  ibrav = 0, nat = 6, ntyp = 3
/
ATOMIC_SPECIES
Cl 35.45 Cl.upf
Pb 207.20 Pb.upf
S 32.06 S.upf
ATOMIC_POSITIONS angstrom
Cl -2.0824 1.5066 3.4687
Cl 2.7171 6.4291 3.1927
Pb -1.7049 4.2434 3.6092
Pb 2.3396 3.6923 3.0523
S -0.0096 4.2925 1.4587
S 0.6444 3.6432 5.2027
CELL_PARAMETERS angstrom
-1.8328 3.4454 -1.3647
-3.0270 0.1849 4.5321
5.4946 4.3053 3.4941
! E_form (uncorrected) = -0.43 eV per atom
! E_tot = -3.662 eV per atom
! Relative energy among the computed polymorphs = 305 meV per atom

# 3
! YErAlRu (PBE, optimized geometry); values from VASP
&SYSTEM
  ibrav = 0, nat = 4, ntyp = 4
/
ATOMIC_SPECIES
Y 88.91 Y.upf
Er 167.26 Er.upf
Ru 101.07 Ru.upf
Al 26.98 Al.upf
ATOMIC_POSITIONS angstrom
Y -6.1390 -1.7060 6.4582
Er -2.0463 -0.5687 2.1527
Ru 0.0000 0.0000 0.0000
Al -4.0927 -1.1373 4.3055
CELL_PARAMETERS angstrom
-3.8029 -2.8742 1.2900
-0.6294 -1.2887 4.7255
-3.7531 1.8882 2.5954
! Formation energy from the elements = -1.5 eV per formula unit
! E_tot = -6.382 eV per atom

# 4
! CrNi3Au (PBE, optimized geometry); values from VASP
&SYSTEM
  ibrav = 0, nat = 5, ntyp = 3
/
ATOMIC_SPECIES
Ni 58.69 Ni.upf
Cr 52.00 Cr.upf
Au 196.97 Au.upf
ATOMIC_POSITIONS angstrom
Ni -0.1117 -0.2522 -2.0997
Ni -1.9923 -0.6925 0.1892
Cr 0.0000 0.0000 0.0000
Ni 0.7091 -1.9853 0.2008
Au -1.3949 -2.9300 -1.7097
CELL_PARAMETERS angstrom
-0.2234 -0.5045 -4.1993
1.4182 -3.9706 0.4016
-3.9846 -1.3849 0.3783
! Formation energy from the elements = 5.2 eV per formula unit
! E_tot = -5.008 eV per atom
! Relative energy among the computed polymorphs = 0 meV per atom

# 5
! La2AlSi3Pt4 (PBE, optimized geometry); values from VASP
&SYSTEM
  ibrav = 0, nat = 10, ntyp = 4
/
ATOMIC_SPECIES
Pt 195.08 Pt.upf
La 138.91 La.upf
Si 28.09 Si.upf
Al 26.98 Al.upf
ATOMIC_POSITIONS angstrom
Pt -4.1118 0.2429 1.1978
La -7.2900 2.2733 1.6131
Pt -5.9098 2.8295 -1.3048
La -2.7315 0.7992 -1.7201
Si -2.0669 -1.0633 0.9306
Si -7.9546 4.1357 -1.0376
Si -4.1996 2.6828 0.5488
Al -5.8219 0.3897 -0.6557
Pt 0.0000 0.0000 0.0000
Pt -1.6223 -2.2931 -1.2045
CELL_PARAMETERS angstrom
-1.2287 -1.1066 -3.9935
-2.0158 -3.4797 1.5844
-8.3993 5.3656 1.0976
! E_form (uncorrected) = -1.15 eV per atom
! E_tot = -6.550 eV per atom

# 6
! Pm12Nd7Mg (PBE, optimized geometry); values from VASP
&SYSTEM
  ibrav = 0, nat = 20, ntyp = 3
/
ATOMIC_SPECIES
Pm 145.00 Pm.upf
Nd 144.24 Nd.upf
Mg 24.30 Mg.upf
ATOMIC_POSITIONS angstrom
Pm 6.3204 4.7289 5.8024
Pm 4.9667 7.9061 5.0928
Nd 6.1690 7.4461 8.4795
Pm 1.6365 7.0536 6.5989
Pm -0.1769 3.4453 6.4668
Mg 0.0000 0.0000 0.0000
Pm 2.7849 2.5099 9.0511
Pm 3.3586 5.6643 3.2181
Pm 6.2132 2.0157 8.3931
Nd -0.0254 0.7281 3.7897
Pm 1.1768 0.2682 7.1763
Nd 3.0971 0.8701 2.1315
Nd 3.0465 7.3041 10.1376
Pm 0.2085 5.2310 9.2577
Pm 5.9350 2.9432 3.0115
Nd 5.4371 4.7455 10.6452
Nd 0.7064 3.4287 1.6239
Pm 4.5070 1.1206 5.6703
Nd 3.0718 4.0871 6.1346
Pm -0.0696 6.1585 3.8760
CELL_PARAMETERS angstrom
8.6076 1.2091 1.8148
-1.2320 8.6044 1.8148
-1.2320 -1.6393 8.6395
! Formation energy from the elements = 3.7 eV per formula unit
! E_tot = -4.413 eV per atom
! Relative energy among the computed polymorphs = 0 meV per atom

# 7
! NaPaN (PBE, optimized geometry); values from VASP
&SYSTEM
  ibrav = 0, nat = 6, ntyp = 3
/
ATOMIC_SPECIES
N 14.01 N.upf
Pa 231.04 Pa.upf
Na 22.99 Na.upf
ATOMIC_POSITIONS angstrom
N -1.2625 -3.1569 7.5410
Pa 0.6223 -4.2075 5.9082
Na 2.5093 -3.0185 3.0593
Pa 0.7921 -1.5577 -0.1986
Na -1.0949 -2.7467 2.6503
N 2.6769 -2.6083 -1.8315
CELL_PARAMETERS angstrom
-1.9235 -2.8258 -0.4057
3.5860 -2.0391 -2.8070
-0.2481 -0.9003 8.9222
! E_form (uncorrected) = -0.55 eV per atom
! E_tot = -6.928 eV per atom

# 8
! LuSc2Cr (PBE, optimized geometry); values from VASP
&SYSTEM
  ibrav = 0, nat = 4, ntyp = 3
/
ATOMIC_SPECIES
Sc 44.96 Sc.upf
Cr 52.00 Cr.upf
Lu 174.97 Lu.upf
ATOMIC_POSITIONS angstrom
Sc 0.0000 0.0000 6.5031
Sc 0.0000 0.0000 1.6009
Cr 1.6663 1.6663 0.0000
Lu 1.6663 1.6663 4.0520
CELL_PARAMETERS angstrom
3.3326 0.0000 0.0000
0.0000 3.3326 0.0000
0.0000 0.0000 8.1041
! Formation energy from the elements = 0.7 eV per formula unit
! E_tot = -6.515 eV per atom

Which of these has the highest E_tot? CdSb2Pb2Au7

Among the records above, which one has the lowest E_tot? NaPaN

Which of these has the highest E_tot? CdSb2Pb2Au7